[1]
Density functional theory data (meta-GGA SCAN) for SrHfSb3 at its PBEsol-relaxed geometry.

Structure (extended XYZ):
```
5
Lattice="5.615 0.000 0.000 0.000 5.615 0.000 0.000 0.000 5.615" Properties=species:S:1:pos:R:3 pbc="T T T"
Sb 0.000 0.000 2.808
Sb 2.808 0.000 0.000
Sb 0.000 2.808 0.000
Sr 0.000 0.000 0.000
Hf 2.808 2.808 2.808
```

Values from the calculation:
DOS at the Fermi energy = 5.7 states/eV per cell
Size of the total moment = 0.948 μB per cell
Formation energy without anion corrections = 656.0 kJ/mol of formula units

---

[2]
Density functional theory data (meta-GGA SCAN) for Ca2CoN2 at its PBEsol-relaxed geometry.

Structure (extended XYZ):
```
5
Lattice="3.513 0.000 0.000 0.000 3.513 0.000 -1.756 -1.756 5.999" Properties=species:S:1:pos:R:3 pbc="T T T"
Ca 1.757 1.757 1.809
Ca 0.000 0.000 4.190
N 0.000 0.000 1.734
N 1.756 1.756 4.265
Co 0.000 0.000 0.000
```

Values from the calculation:
DOS at the Fermi energy = 1.0 states/eV per cell
Size of the total moment = 2.919 μB per cell
Formation energy without anion corrections = -402.9 kJ/mol of formula units

---

[3]
Density functional theory data (meta-GGA SCAN) for KPb5 at its PBEsol-relaxed geometry.

Structure (extended XYZ):
```
6
Lattice="3.576 0.000 0.000 -1.788 6.784 0.049 0.000 -2.283 7.624" Properties=species:S:1:pos:R:3 pbc="T T T"
Pb 0.000 2.997 5.070
Pb 0.000 4.421 2.150
Pb 1.788 0.922 7.121
Pb 1.788 1.615 2.737
Pb 0.000 -0.645 4.525
K 0.000 0.050 0.114
```

Values from the calculation:
ΔE_f = -0.0902 eV/atom
DOS at the Fermi energy = 2.6 states/eV per cell
Size of the total moment = 0.000 μB per cell

---

[4]
Density functional theory data (meta-GGA SCAN) for LiPbO2F at its PBEsol-relaxed geometry.

Structure (extended XYZ):
```
5
Lattice="4.164 0.000 0.000 0.000 4.164 0.000 0.000 0.000 4.429" Properties=species:S:1:pos:R:3 pbc="T T T"
Li 2.082 2.082 2.215
F 0.000 0.000 2.215
O 2.082 0.000 0.000
O 0.000 2.082 0.000
Pb 0.000 0.000 0.000
```

Values from the calculation:
DOS at the Fermi energy = 1.2 states/eV per cell
Size of the total moment = 0.000 μB per cell
Formation energy without anion corrections = -596.7 kJ/mol of formula units

---

[5]
Density functional theory data (meta-GGA SCAN) for SrNiP2O7 at its PBEsol-relaxed geometry.

Structure (extended XYZ):
```
44
Lattice="5.254 0.000 -0.003 0.000 8.213 0.000 0.020 0.000 12.574" Properties=species:S:1:pos:R:3 pbc="T T T"
P 1.335 0.304 4.249
P 0.997 2.508 6.085
P 3.972 3.802 10.534
P 4.277 5.705 6.485
P 1.640 6.614 0.200
P 3.633 1.598 12.370
P 1.302 4.411 2.036
P 3.938 7.908 8.321
O 0.129 3.589 10.024
O 5.145 4.624 2.546
O 2.528 7.695 8.835
O 0.535 5.447 6.542
O 2.122 1.341 12.316
O 0.922 7.057 4.383
O 2.346 5.121 2.923
O 3.870 3.159 12.004
O 2.928 3.091 9.648
O 1.403 5.054 0.566
O 1.032 6.760 11.384
O 0.291 1.015 3.363
O 1.739 3.311 5.003
O 1.715 2.951 1.902
O 3.559 5.262 10.669
O 0.898 7.418 1.282
O 4.351 1.155 8.187
O 3.649 5.559 5.095
O 2.746 0.518 3.736
O 4.375 0.795 11.288
O 1.233 0.948 5.719
O 4.040 7.265 6.851
O 4.242 1.452 1.186
O 4.982 7.198 9.208
O 3.152 6.872 0.254
O 4.739 2.765 6.028
O 3.535 4.901 7.568
O 1.625 2.654 7.475
Sr 3.762 2.826 3.545
Sr 1.145 1.280 9.834
Sr 4.129 6.933 2.736
Sr 1.512 5.386 9.025
Ni 1.660 5.314 4.850
Ni 3.613 2.899 7.720
Ni 0.977 1.208 1.435
Ni 4.297 7.005 11.136
```

Values from the calculation:
DOS at the Fermi energy = 0.0 states/eV per cell
Size of the total moment = 7.689 μB per cell
Formation energy without anion corrections = -2764.2 kJ/mol of formula units

---

[6]
Density functional theory data (meta-GGA SCAN) for LiCu2As at its PBEsol-relaxed geometry.

Structure (extended XYZ):
```
4
Lattice="-0.106 -2.518 2.863 3.908 1.852 -0.767 -2.538 2.184 1.827" Properties=species:S:1:pos:R:3 pbc="T T T"
Li 0.000 0.000 0.000
Cu 0.024 1.935 1.702
Cu 1.240 -0.416 2.221
As -1.322 -0.167 2.345
```

Values from the calculation:
ΔE_f = -0.1981 eV/atom
DOS at the Fermi energy = 0.8 states/eV per cell
Size of the total moment = 0.000 μB per cell

---

[7]
Density functional theory data (meta-GGA SCAN) for Cs2NaHg at its PBEsol-relaxed geometry.

Structure (extended XYZ):
```
4
Lattice="6.676 0.000 0.000 3.338 5.781 0.000 3.338 1.927 5.451" Properties=species:S:1:pos:R:3 pbc="T T T"
Na 0.000 0.000 0.000
Cs 3.338 1.927 1.363
Cs 10.014 5.781 4.088
Hg 6.676 3.854 2.725
```

Values from the calculation:
ΔE_f = -0.0777 eV/atom
DOS at the Fermi energy = 3.2 states/eV per cell
Size of the total moment = 0.015 μB per cell

---

[8]
Density functional theory data (meta-GGA SCAN) for NaSrB5O9 at its PBEsol-relaxed geometry.

Structure (extended XYZ):
```
64
Lattice="6.498 0.000 0.000 -2.326 7.687 0.000 0.000 0.000 13.980" Properties=species:S:1:pos:R:3 pbc="T T T"
B 4.351 5.106 6.181
B 3.773 5.611 8.564
B 5.515 1.263 0.809
B 1.411 4.848 2.011
B -0.764 5.919 1.574
B 0.399 2.076 5.417
B 1.803 2.888 3.532
B 0.640 6.732 3.458
B -0.180 2.581 7.799
B 1.598 6.682 9.001
B 2.761 2.839 11.969
B 4.936 1.768 12.407
B 2.369 4.799 10.448
B 3.532 0.955 10.522
B -0.383 5.881 7.682
B 4.555 1.806 6.298
B 3.392 5.650 0.692
B -1.343 6.424 13.171
B 2.574 1.005 4.979
B 0.780 2.037 13.289
O 0.665 2.715 6.703
O 2.093 4.087 11.580
O 0.916 7.444 4.590
O -0.903 6.571 11.914
O 4.286 5.576 1.747
O 0.359 1.606 0.556
O -0.483 6.915 2.675
O 5.449 1.732 5.243
O 3.506 4.972 7.277
O 4.976 2.237 7.547
O 3.912 4.959 4.923
O 4.670 1.129 13.694
O 1.146 0.853 5.208
O -0.804 5.450 6.434
O 2.094 2.318 13.168
O 0.260 2.728 9.057
O 3.025 6.834 8.773
O 0.680 3.072 4.315
O -0.017 4.697 1.782
O -1.278 5.955 8.737
O 2.078 5.369 0.813
O 2.569 1.880 10.835
O 2.079 3.601 2.400
O 3.492 4.615 9.666
O 3.256 0.243 9.390
O 0.930 6.161 7.803
O 3.241 1.526 6.178
O -0.114 2.111 12.234
O 4.189 2.990 12.198
O 2.766 1.963 3.844
O 1.602 5.807 3.146
O 5.075 1.116 2.067
O 1.406 5.724 10.136
O -0.498 6.558 0.287
O 3.813 6.081 13.424
O 4.655 0.772 11.305
Sr 4.812 3.382 3.215
Sr -0.640 4.305 10.765
Sr 3.648 7.226 3.775
Sr 0.523 0.461 10.205
Na 1.522 5.006 5.796
Na 2.686 1.163 1.194
Na 1.486 6.524 12.787
Na 2.649 2.681 8.184
```

Values from the calculation:
DOS at the Fermi energy = 0.0 states/eV per cell
Size of the total moment = 0.006 μB per cell
Formation energy without anion corrections = -4277.7 kJ/mol of formula units

---

[9]
Density functional theory data (meta-GGA SCAN) for Cr2TeRu at its PBEsol-relaxed geometry.

Structure (extended XYZ):
```
4
Lattice="3.004 0.000 0.000 0.000 4.505 0.040 0.000 -1.334 4.303" Properties=species:S:1:pos:R:3 pbc="T T T"
Te 1.502 1.585 2.172
Ru 1.502 0.000 0.000
Cr 0.000 -0.667 2.151
Cr 0.000 2.252 0.020
```

Values from the calculation:
DOS at the Fermi energy = 3.7 states/eV per cell
Size of the total moment = 5.254 μB per cell
Formation energy without anion corrections = 117.3 kJ/mol of formula units

---

[10]
Density functional theory data (meta-GGA SCAN) for Ta4CdOs at its PBEsol-relaxed geometry.

Structure (extended XYZ):
```
6
Lattice="5.318 0.000 0.000 2.659 4.606 0.000 2.659 1.535 4.342" Properties=species:S:1:pos:R:3 pbc="T T T"
Cd 7.977 4.606 3.257
Ta 5.318 4.610 1.627
Ta 6.651 2.301 1.627
Ta 3.985 2.301 1.627
Ta 5.318 3.070 3.804
Os 0.000 0.000 0.000
```

Values from the calculation:
ΔE_f = 0.4214 eV/atom
DOS at the Fermi energy = 5.1 states/eV per cell
Size of the total moment = 0.000 μB per cell

---

[11]
Density functional theory data (meta-GGA SCAN) for La5Sc3 at its PBEsol-relaxed geometry.

Structure (extended XYZ):
```
8
Lattice="4.996 0.000 0.000 0.000 6.897 0.043 0.000 -0.244 6.893" Properties=species:S:1:pos:R:3 pbc="T T T"
La 0.000 3.449 0.022
La 0.000 0.000 0.000
La 2.498 4.945 5.156
La 2.498 1.708 1.781
La 0.000 -0.122 3.447
Sc 2.498 1.575 5.148
Sc 2.498 5.078 1.789
Sc 0.000 3.326 3.468
```

Values from the calculation:
ΔE_f = 0.0656 eV/atom
DOS at the Fermi energy = 10.0 states/eV per cell
Size of the total moment = 0.000 μB per cell

---

[12]
Density functional theory data (meta-GGA SCAN) for Li4Fe3Co3Sb2O16 at its PBEsol-relaxed geometry.

Structure (extended XYZ):
```
28
Lattice="-5.593 -1.083 -0.228 -1.984 -4.276 -3.207 0.785 -5.888 7.261" Properties=species:S:1:pos:R:3 pbc="T T T"
Li -1.803 -7.083 5.407
Li -6.794 -11.197 3.771
Li 0.387 -2.909 3.587
Li -4.730 -5.908 0.603
Sb -4.279 -9.428 4.921
Sb -2.137 -4.676 2.423
O -3.240 -7.704 4.333
O -2.422 -2.449 -0.309
O -3.359 -4.537 -2.041
O -0.875 -4.073 0.865
O -5.258 -2.857 -0.473
O -6.298 -5.102 -2.161
O 0.231 -1.806 2.216
O 0.616 -4.740 5.826
O -4.147 -9.591 2.829
O -3.400 -4.547 0.756
O -0.728 -4.383 3.815
O -3.659 -4.968 3.683
O -1.789 -6.622 2.140
O -2.510 -2.626 2.214
O -5.773 -8.153 4.172
O -4.601 -7.180 2.122
Co -3.859 -2.709 0.873
Co -5.740 -8.666 2.335
Co -2.087 -4.276 -0.589
Fe -3.018 -8.105 2.482
Fe -4.726 -6.594 3.892
Fe -1.121 -2.191 0.990
```

Values from the calculation:
Size of the total moment = 3.000 μB per cell
Formation energy without anion corrections = -4739.7 kJ/mol of formula units